Arrangement i

A plane-wave DFT calculation with GGA-PBE was carried out for a geometry-optimized Sr2InPb structure.

Unit cell a=3.884 b=5.678 c=6.883 alpha=90.00 beta=90.00 gamma=90.00
Positions (direct):
In 0.000 0.000 0.417
Pb 0.500 0.500 0.831
Sr 0.000 0.000 0.914
Sr 0.500 0.500 0.339

Calculated density ... 5.44 g cm⁻³
DOS(E_F) ... 0.89 states/eV/atom
V ... 152 Å³/f.u.

---

Arrangement ii

A plane-wave DFT calculation with GGA-PBE was carried out for a geometry-optimized Sr2InPb structure.

Unit cell a=10.827 b=10.827 c=10.827 alpha=21.43 beta=21.43 gamma=21.43
Positions (direct):
In 0.250 0.250 0.250
Pb 0.750 0.750 0.750
Sr 0.999 0.999 0.999
Sr 0.501 0.501 0.501

Calculated density ... 5.56 g cm⁻³
DOS(E_F) ... 0.96 states/eV/atom
V ... 148 Å³/f.u.

---

The computed energies, referenced to the most stable structure and given in eV/atom, are arrangement i 0.068; arrangement ii 0.000.